(1)
A plane-wave DFT calculation with PBE-GGA was carried out for a relaxed structure of HfRePb2S.

Cell: 5.736 5.736 4.727 Å, 90.00 90.00 90.00°
Positions (direct):
Hf (0.000, 0.000, 0.000)
Re (0.500, 0.500, 0.500)
Pb (0.000, 0.500, 0.000)
Pb (0.500, 0.000, 0.000)
S (0.000, 0.000, 0.500)

Summary:
- Calculated volume: 31.10 Å³ per atom
- Raw formation energy: 1.18 eV per atom
- Symmetry: P4/mmm, No. 123
- Crystal system: tetragonal

(2)
A plane-wave DFT calculation with PBE-GGA was carried out for a relaxed structure of MgCoAg2Ge.

Cell: 4.864 4.864 4.925 Å, 90.00 90.00 90.00°
Positions (direct):
Mg (0.000, 0.000, 0.000)
Co (0.500, 0.500, 0.000)
Ag (0.000, 0.500, 0.500)
Ag (0.500, 0.000, 0.500)
Ge (0.000, 0.000, 0.500)

Summary:
- Calculated volume: 23.30 Å³ per atom
- Symmetry: P4/mmm, No. 123
- Crystal system: tetragonal
- Energy of formation: 0.87 eV per atom

(3)
A plane-wave DFT calculation with PBE-GGA was carried out for a relaxed structure of CaTeAu.

Cell: 4.599 4.599 4.484 Å, 90.00 90.00 120.00°
Positions (direct):
Ca (0.000, 0.000, 0.000)
Te (0.667, 0.333, 0.435)
Au (0.333, 0.667, 0.669)

Summary:
- Calculated volume: 27.38 Å³ per atom
- Raw formation energy: -0.78 eV per atom
- Symmetry: P3m1, No. 156
- Crystal system: trigonal

(4)
A plane-wave DFT calculation with PBE-GGA was carried out for a relaxed structure of SbTe.

Cell: 3.154 3.154 12.488 Å, 90.00 90.00 90.00°
Positions (direct):
Sb (0.250, 0.250, 0.099)
Sb (0.750, 0.750, 0.901)
Te (0.250, 0.250, 0.656)
Te (0.750, 0.750, 0.344)

Summary:
- Calculated volume: 31.06 Å³ per atom
- Raw formation energy: 0.26 eV per atom
- Symmetry: P4/nmm, No. 129
- Crystal system: tetragonal

(5)
A plane-wave DFT calculation with PBE-GGA was carried out for a relaxed structure of Mn2CSCl.

Cell: 4.287 4.287 3.510 Å, 90.00 90.00 90.00°
Positions (direct):
Mn (0.000, 0.500, 0.000)
Mn (0.500, 0.000, 0.000)
C (0.000, 0.000, 0.500)
S (0.500, 0.500, 0.500)
Cl (0.000, 0.000, 0.000)

Summary:
- Calculated volume: 12.90 Å³ per atom
- Raw formation energy: 1.94 eV per atom
- Symmetry: P4/mmm, No. 123
- Crystal system: tetragonal

(6)
A plane-wave DFT calculation with PBE-GGA was carried out for a relaxed structure of TaAg3O.

Cell: 4.446 4.446 4.446 Å, 90.00 90.00 90.00°
Positions (direct):
Ta (0.000, 0.000, 0.000)
Ag (0.000, 0.500, 0.500)
Ag (0.500, 0.000, 0.500)
Ag (0.500, 0.500, 0.000)
O (0.500, 0.500, 0.500)

Summary:
- Calculated volume: 17.57 Å³ per atom
- Raw formation energy: 0.82 eV per atom
- Symmetry: Pm-3m, No. 221
- Crystal system: cubic

(7)
A plane-wave DFT calculation with PBE-GGA was carried out for a relaxed structure of InSiSb.

Cell: 6.342 6.342 6.342 Å, 147.56 147.56 46.54°
Positions (direct):
In (0.000, 0.000, 0.000)
Si (0.332, 0.332, 0.000)
Sb (0.717, 0.717, 0.000)

Summary:
- Calculated volume: 24.38 Å³ per atom
- Raw formation energy: 0.32 eV per atom
- Symmetry: I4mm, No. 107
- Crystal system: tetragonal

(8)
A plane-wave DFT calculation with PBE-GGA was carried out for a relaxed structure of LiCaW2.

Cell: 2.774 5.284 5.037 Å, 90.00 97.73 90.00°
Positions (direct):
Li (0.000, 0.000, 0.000)
Ca (0.500, 0.000, 0.500)
W (0.197, 0.500, 0.751)
W (0.803, 0.500, 0.249)

Summary:
- Calculated volume: 18.29 Å³ per atom
- Symmetry: P2/m, No. 10
- Crystal system: monoclinic
- Energy of formation: 0.70 eV per atom

Number 1: theoretical density 8661 kg/m³. Number 2: theoretical density 5296 kg/m³. Number 3: theoretical density 7372 kg/m³. Number 4: theoretical density 6665 kg/m³. Number 5: theoretical density 4875 kg/m³. Number 6: theoretical density 9837 kg/m³. Number 7: theoretical density 6009 kg/m³. Number 8: theoretical density 9413 kg/m³.